DFT (meta-GGA SCAN) results for a crystal of ScCuAg4 relaxed with PBEsol.

Cell lengths 5.3066, 5.3066, 5.3066 Å; angles 60.00, 60.00, 60.00 degrees
Fractional positions:
1 Ag 0.3753 0.3753 0.3753
2 Ag 0.3753 0.3753 0.8742
3 Ag 0.8742 0.3753 0.3753
4 Ag 0.3753 0.8742 0.3753
5 Cu 0.7500 0.7500 0.7500
6 Sc 0.0000 0.0000 0.0000

Computed properties:
DOS(E_F)   3.77 states/eV/cell
Formation energy   0.07 eV per atom
Uncorrected energy   -25.74 eV per atom
Symmetry   F-43m, No. 216

DFT (meta-GGA SCAN) results for a crystal of ScCuAg relaxed with PBEsol.

Cell lengths 4.2921, 4.2921, 4.2921 Å; angles 60.00, 60.00, 60.00 degrees
Fractional positions:
1 Ag 0.5000 0.5000 0.5000
2 Cu 0.7500 0.7500 0.7500
3 Sc 0.0000 0.0000 0.0000

Computed properties:
DOS(E_F)   1.99 states/eV/cell
Formation energy   -0.03 eV per atom
Uncorrected energy   -20.30 eV per atom
Relative energy among the computed polymorphs   264 meV/atom
Symmetry   F-43m, No. 216

DFT (meta-GGA SCAN) results for a crystal of ScCuAg relaxed with PBEsol.

Cell lengths 3.3720, 3.3720, 4.9138 Å; angles 110.07, 110.07, 90.00 degrees
Fractional positions:
1 Sc 0.3279 0.3279 0.6558
2 Ag 0.0055 0.0055 0.0110
3 Cu 0.6666 0.6666 0.3331

Computed properties:
DOS(E_F)   0.99 states/eV/cell
Formation energy   -0.30 eV per atom
Uncorrected energy   -20.56 eV per atom
Relative energy among the computed polymorphs   0 meV/atom
Symmetry   I4mm, No. 107

DFT (meta-GGA SCAN) results for a crystal of ScCu2Ag relaxed with PBEsol.

Cell lengths 3.2207, 3.2176, 5.8523 Å; angles 90.00, 90.00, 90.00 degrees
Fractional positions:
1 Ag 0.5000 0.5000 0.5000
2 Cu 0.0000 0.0000 0.7352
3 Cu 0.0000 0.0000 0.2648
4 Sc 0.5000 0.5000 0.0000

Computed properties:
DOS(E_F)   1.46 states/eV/cell
Formation energy   -0.14 eV per atom
Uncorrected energy   -19.15 eV per atom
Relative energy among the computed polymorphs   25 meV/atom
Symmetry   P4/mmm, No. 123

DFT (meta-GGA SCAN) results for a crystal of Sc2CuAgSe relaxed with PBEsol.

Cell lengths 4.3535, 4.9589, 4.9589 Å; angles 90.00, 90.00, 90.00 degrees
Fractional positions:
1 Sc 0.0000 0.0000 0.5000
2 Sc 0.0000 0.5000 0.0000
3 Cu 0.5000 0.0000 0.0000
4 Se 0.0000 0.0000 0.0000
5 Ag 0.5000 0.5000 0.5000

Computed properties:
DOS(E_F)   4.40 states/eV/cell
Uncorrected energy   -19.20 eV per atom
E_form (uncorrected)   -0.1725 eV/atom
Symmetry   P4/mmm, No. 123

DFT (meta-GGA SCAN) results for a crystal of CuAgSe2 relaxed with PBEsol.

Cell lengths 5.7943, 5.7943, 6.6559 Å; angles 115.80, 115.80, 90.00 degrees
Fractional positions:
1 Cu 0.7500 0.2500 0.5000
2 Cu 0.5000 0.5000 0.0000
3 Se 0.8424 0.3750 0.2500
4 Se 0.4076 0.8750 0.2500
5 Se 0.6250 0.5924 0.7500
6 Se 0.1250 0.1576 0.7500
7 Ag 0.2500 0.7500 0.5000
8 Ag 0.0000 0.0000 0.0000

Computed properties:
DOS(E_F)   5.94 states/eV/cell
Uncorrected energy   -21.72 eV per atom
E_form (uncorrected)   -0.0366 eV/atom
Symmetry   I-42d, No. 122